# 1
A geometry-optimized HoCuN structure, computed with PBE.

Lattice parameters (Å, degrees): 5.698 5.698 5.698 146.64 146.64 47.89
Positions (direct):
1 Ho 0.000 0.000 0.000
2 Cu 0.289 0.289 0.000
3 N 0.474 0.474 0.000

Computed properties:
- Crystal system: tetragonal
- Total moment: 0.00 μB per cell
- Formation energy (no corrections): -0.432 eV/atom
- Calculated total energy: -18.3 eV per formula unit
- Space group: I4mm, No. 107

***

# 2
A geometry-optimized Pr6Dy5Cd structure, computed with PBE.

Lattice parameters (Å, degrees): 9.541 9.541 9.541 148.78 117.20 71.80
Positions (direct):
1 Pr 0.079 0.335 0.745
2 Pr 0.243 0.000 0.243
3 Pr 0.410 0.665 0.745
4 Pr 0.590 0.335 0.255
5 Pr 0.757 0.000 0.757
6 Pr 0.921 0.665 0.255
7 Dy 0.172 0.172 0.000
8 Dy 0.337 0.837 0.500
9 Dy 0.500 0.500 0.000
10 Dy 0.663 0.163 0.500
11 Dy 0.828 0.828 0.000
12 Cd 0.000 0.500 0.500

Computed properties:
- Crystal system: orthorhombic
- Total moment: 0.00 μB per cell
- Calculated total energy: -52.8 eV per formula unit
- Space group: Immm, No. 71
- Energy of formation: -0.01 eV/atom

***

# 3
A geometry-optimized Ca3HW structure, computed with PBE.

Lattice parameters (Å, degrees): 5.521 5.521 5.521 90.00 90.00 90.00
Positions (direct):
1 Ca 0.000 0.000 0.500
2 Ca 0.000 0.500 0.000
3 Ca 0.500 0.000 0.000
4 H 0.500 0.500 0.500
5 W 0.000 0.000 0.000

Computed properties:
- Crystal system: cubic
- Total moment: 0.00 μB per cell
- Calculated total energy: -15.8 eV per formula unit
- Space group: Pm-3m, No. 221

***

> The lowest calculated total energy belongs to which entry?

Pr6Dy5Cd